10
Lattice="-4.929 -3.309 -6.540 -2.662 -7.977 0.767 -8.156 -1.473 1.616" Properties=species:S:1:pos:R:3 comment="PBE-GGA Cs3TbBr6, relaxed" total_magnetization_mub_per_fu=0.00 raw_formation_energy_mev_per_atom=-1869 crystal_system=monoclinic polymorph_energy_ev_per_fu=0.074 pbc="T T T"
Br -8.571 -7.307 0.510
Cs 0.000 0.000 0.000
Cs -11.777 -9.568 -2.919
Br -5.141 -6.761 -1.468
Br -7.175 -5.452 -4.666
Br -8.057 -9.013 -3.083
Tb -7.873 -6.379 -2.078
Cs -3.969 -3.191 -1.238
Br -7.689 -3.746 -1.074
Br -10.605 -5.998 -2.689



19
Lattice="-0.981 -9.302 3.968 9.164 -3.338 3.925 -0.096 0.445 10.503" Properties=species:S:1:pos:R:3 comment="PBE-GGA Cs5Tb2Br12, relaxed" total_magnetization_mub_per_fu=1.06 raw_formation_energy_mev_per_atom=-1675 crystal_system=monoclinic polymorph_energy_ev_per_fu=0.608 pbc="T T T"
Br 6.734 -10.053 11.192
Br 0.243 -7.514 11.329
Tb 7.386 -2.611 5.188
Br 7.963 -4.042 13.533
Br 1.354 -2.141 7.204
Cs 5.478 -6.666 11.545
Br 3.274 -8.016 9.218
Tb 1.682 -0.281 9.240
Br 2.178 -2.365 11.092
Br 0.124 -8.152 4.863
Br 4.811 -3.554 4.748
Br 4.813 -4.178 9.178
Cs 2.609 -5.528 6.851
Cs 2.281 -1.081 3.832
Cs -0.490 -4.651 1.984
Cs 5.807 -11.113 14.564
Br 7.845 -4.679 7.067
Br 3.276 -8.640 13.648
Br 5.909 -9.829 7.303



4
Lattice="-2.699 2.505 -1.398 -3.417 0.476 1.901 2.444 9.177 6.175" Properties=species:S:1:pos:R:3 comment="PBE-GGA CsTbBr2, relaxed" total_magnetization_mub_per_fu=0.36 raw_formation_energy_mev_per_atom=-1074 crystal_system=trigonal pbc="T T T"
Br -4.661 5.638 2.453
Cs 0.000 0.000 0.000
Tb -1.836 6.079 3.339
Br 0.989 6.521 4.225



12
Lattice="5.746 0.000 0.000 -2.873 10.231 0.267 0.000 -2.880 10.498" Properties=species:S:1:pos:R:3 comment="PBE-GGA CsTbBr4, relaxed" total_magnetization_mub_per_fu=0.00 raw_formation_energy_mev_per_atom=-1846 crystal_system=monoclinic polymorph_energy_ev_per_fu=0.000 pbc="T T T"
Br 2.873 4.517 4.486
Br 0.000 7.221 4.048
Cs 0.000 3.675 2.532
Br 0.000 -0.151 3.841
Br 2.873 0.130 6.717
Cs 2.873 3.676 8.234
Br 2.873 7.502 6.924
Br 0.000 2.834 6.279
Tb 2.873 7.230 4.013
Br 0.000 0.516 9.447
Br 2.873 6.835 1.319
Tb 0.000 0.121 6.752



Copy entry 4 word for word.
12
Lattice="5.746 0.000 0.000 -2.873 10.231 0.267 0.000 -2.880 10.498" Properties=species:S:1:pos:R:3 comment="PBE-GGA CsTbBr4, relaxed" total_magnetization_mub_per_fu=0.00 raw_formation_energy_mev_per_atom=-1846 crystal_system=monoclinic polymorph_energy_ev_per_fu=0.000 pbc="T T T"
Br 2.873 4.517 4.486
Br 0.000 7.221 4.048
Cs 0.000 3.675 2.532
Br 0.000 -0.151 3.841
Br 2.873 0.130 6.717
Cs 2.873 3.676 8.234
Br 2.873 7.502 6.924
Br 0.000 2.834 6.279
Tb 2.873 7.230 4.013
Br 0.000 0.516 9.447
Br 2.873 6.835 1.319
Tb 0.000 0.121 6.752